1.
Here is a geometry-optimized CoP2Os structure from Alexandria via LeMat-Bulk. Energies are from PBE.

Calculated values
Density of states at the Fermi level = 3.150 states/eV/cell
Excess energy over the best structure of this formula in the dataset = 226 meV per atom
Uncorrected energy = -7.353 eV/atom

Lattice parameters (Å, degrees): 3.940 3.940 4.771 79.32 79.32 43.14
Positions (direct):
Co: 0.750 0.750 0.750
Os: 0.250 0.250 0.250
P: 0.996 0.996 0.991
P: 0.504 0.504 0.509

***

2.
Here is a geometry-optimized Co2POs structure from Alexandria via LeMat-Bulk. Energies are from PBE.

Calculated values
Density of states at the Fermi level = 5.100 states/eV/cell
Uncorrected energy = -7.335 eV/atom

Lattice parameters (Å, degrees): 2.704 2.704 7.798 90.00 90.00 117.37
Last column: magnetic moment on the atom in μB.
Positions (direct):
Co: 0.000 0.000 0.980  0.91
Co: 0.500 0.500 0.237  1.85
Os: 0.000 0.000 0.519  0.13
P: 0.500 0.500 0.764  -0.01